A plane-wave DFT calculation with PBE with a Hubbard U was carried out for an optimized crystal structure of SrTiMnBiO6.

* total energy: -7.191 eV/atom
* ρ: 6.71 Mg/m³

Cell and atoms, written as CIF:
```
data_SrTiMnBiO6
_cell_length_a 7.886
_cell_length_b 7.886
_cell_length_c 7.886
_cell_angle_alpha 90.00
_cell_angle_beta 90.00
_cell_angle_gamma 90.00
_symmetry_space_group_name_H-M 'F -4 3 m'
_symmetry_Int_Tables_number 216
_symmetry_space_group_name_Hall 'F -4 2 3'
loop_
_atom_site_label
_atom_site_fract_x
_atom_site_fract_y
_atom_site_fract_z
Sr1 0.000 0.000 0.000
Ti1 0.250 0.250 0.250
Mn1 0.250 0.250 0.750
Bi1 0.000 0.000 0.500
O1 0.003 0.250 0.250
```